No. 1
Computed, not measured: a relaxed structure of CrCo5 at the GGA-PBE level of DFT.

As for the total energy: -7.159 eV/atom.

Unit cell a=4.6459 b=4.6459 c=4.0319 alpha=90.00 beta=90.00 gamma=120.00
Space group P6/mmm (No. 191)
Unique sites:
Cr: 0.0000 0.0000 0.0000 (multiplicity 1)
Co: 0.0000 0.5000 0.5000 (multiplicity 3)
Co: 0.3333 0.6667 0.0000 (multiplicity 2)

No. 2
Computed, not measured: a relaxed structure of Cr3Co2 at the GGA-PBE level of DFT.

As for the total energy: -8.556 eV/atom.

Unit cell a=12.170 b=12.269 c=4.478 alpha=90.00 beta=90.00 gamma=90.00
Space group Cmm2 (No. 35)
Unique sites:
Cr: 0.000 0.104 0.000 (multiplicity 4)
Cr: 0.000 0.324 0.265 (multiplicity 4)
Cr: 0.106 0.500 0.512 (multiplicity 4)
Cr: 0.166 0.207 0.003 (multiplicity 8)
Cr: 0.181 0.000 0.756 (multiplicity 4)
Cr: 0.182 0.000 0.254 (multiplicity 4)
Cr: 0.202 0.332 0.510 (multiplicity 8)
Co: 0.000 0.000 0.499 (multiplicity 2)
Co: 0.000 0.312 0.765 (multiplicity 4)
Co: 0.000 0.500 0.016 (multiplicity 2)
Co: 0.097 0.164 0.501 (multiplicity 8)
Co: 0.164 0.403 0.004 (multiplicity 8)

No. 3
Computed, not measured: a relaxed structure of Cr3Co5 at the GGA-PBE level of DFT.

As for the total energy: -7.793 eV/atom.

Unit cell a=14.394 b=5.644 c=4.476 alpha=90.00 beta=90.00 gamma=90.00
Space group Cmcm (No. 63)
Unique sites:
Cr: 0.000 0.103 0.250 (multiplicity 4)
Cr: 0.219 0.306 0.750 (multiplicity 8)
Co: 0.000 0.331 0.750 (multiplicity 4)
Co: 0.121 0.374 0.250 (multiplicity 8)
Co: 0.141 0.000 0.000 (multiplicity 8)